Record 1
First-principles (PBE) data for an optimized crystal structure of BaCaNF2, as listed in the Alexandria database.

**Raw formation energy**: -2248 meV/atom

a = 4.3901 Å, b = 4.3901 Å, c = 4.7349 Å
α = 90.00°, β = 90.00°, γ = 90.00°
Space group P4/mmm (No. 123)
Asymmetric unit:
Ba 0.0000 0.0000 0.0000 [1 per cell]
Ca 0.5000 0.5000 0.5000 [1 per cell]
N 0.5000 0.5000 0.0000 [1 per cell]
F 0.0000 0.5000 0.5000 [2 per cell]

=====

Record 2
First-principles (PBE) data for an optimized crystal structure of BaCaNF2, as listed in the Alexandria database.

**Raw formation energy**: -1540 meV/atom

a = 4.8674 Å, b = 4.8674 Å, c = 4.8823 Å
α = 90.00°, β = 90.00°, γ = 90.00°
Space group P4/mmm (No. 123)
Asymmetric unit:
Ba 0.0000 0.0000 0.0000 [1 per cell]
Ca 0.5000 0.5000 0.5000 [1 per cell]
N 0.0000 0.0000 0.5000 [1 per cell]
F 0.0000 0.5000 0.0000 [2 per cell]